Compound: ZrGaCu
Source: Alexandria via LeMat-Bulk
Functional: GGA-PBE
Structure: relaxed

VASP energy ... -5.67 eV/atom
Energy of formation from the pure elements ... -0.450 eV/atom
Volume ... 16.75 A^3/atom

Unit cell a=5.3326 b=5.3326 c=5.3326 alpha=133.39 beta=104.88 gamma=93.22
Positions (direct):
1 Zr 0.0000 0.0000 0.0000
2 Zr 0.5445 0.0445 0.5000
3 Ga 0.1292 0.3582 0.7709
4 Ga 0.5873 0.3582 0.2291
5 Cu 0.4018 0.6902 0.7117
6 Cu 0.9785 0.6902 0.2883

=====

Compound: DyThSi2Pt5
Source: Alexandria via LeMat-Bulk
Functional: GGA-PBE
Structure: relaxed

Formation energy (no corrections) ... -1086 meV/atom
VASP energy ... -6.98 eV/atom
Volume ... 18.20 A^3/atom

Unit cell a=4.2752 b=4.2752 c=8.9632 alpha=90.00 beta=90.00 gamma=90.00
Positions (direct):
1 Dy 0.0000 0.0000 0.0000
2 Th 0.0000 0.0000 0.5000
3 Si 0.5000 0.5000 0.1308
4 Si 0.5000 0.5000 0.8692
5 Pt 0.0000 0.5000 0.2609
6 Pt 0.0000 0.5000 0.7391
7 Pt 0.5000 0.0000 0.2609
8 Pt 0.5000 0.0000 0.7391
9 Pt 0.5000 0.5000 0.5000

=====

Compound: LaSm7Al4
Source: Alexandria via LeMat-Bulk
Functional: GGA-PBE
Structure: relaxed

VASP energy ... -4.48 eV/atom
Energy of formation from the pure elements ... -0.070 eV/atom
Volume ... 29.00 A^3/atom

Unit cell a=7.5717 b=7.5717 c=10.6501 alpha=121.57 beta=121.57 gamma=43.63
Positions (direct):
1 La 0.0000 0.0000 0.0000
2 Sm 0.0657 0.0657 0.3898
3 Sm 0.2078 0.2078 0.8779
4 Sm 0.2974 0.2974 0.3562
5 Sm 0.5000 0.5000 0.0000
6 Sm 0.7026 0.7026 0.6438
7 Sm 0.7922 0.7922 0.1221
8 Sm 0.9343 0.9343 0.6102
9 Al 0.3242 0.3242 0.6692
10 Al 0.4476 0.4476 0.2397
11 Al 0.5524 0.5524 0.7603
12 Al 0.6758 0.6758 0.3308

=====

Compound: MnTl2BiPd
Source: Alexandria via LeMat-Bulk
Functional: GGA-PBE
Structure: relaxed

VASP energy ... -3.58 eV/atom
Energy of formation from the pure elements ... 1.014 eV/atom
Volume ... 37.04 A^3/atom

Unit cell a=6.0312 b=6.0312 c=5.0912 alpha=90.00 beta=90.00 gamma=90.00
Positions (direct):
1 Mn 0.0000 0.0000 0.0000
2 Tl 0.0000 0.5000 0.5000
3 Tl 0.5000 0.0000 0.5000
4 Bi 0.0000 0.0000 0.5000
5 Pd 0.5000 0.5000 0.0000

=====

Compound: BaCaSn3
Source: Alexandria via LeMat-Bulk
Functional: GGA-PBE
Structure: relaxed

VASP energy ... -3.75 eV/atom
Energy of formation from the pure elements ... -0.568 eV/atom
Volume ... 33.42 A^3/atom

Unit cell a=4.9170 b=4.9170 c=13.8220 alpha=90.00 beta=90.00 gamma=90.00
Positions (direct):
1 Ba 0.0000 0.0000 0.2500
2 Ba 0.0000 0.0000 0.7500
3 Ca 0.0000 0.5000 0.0000
4 Ca 0.5000 0.0000 0.5000
5 Sn 0.0000 0.5000 0.5000
6 Sn 0.5000 0.0000 0.0000
7 Sn 0.5000 0.5000 0.1464
8 Sn 0.5000 0.5000 0.3536
9 Sn 0.5000 0.5000 0.6464
10 Sn 0.5000 0.5000 0.8536

=====

Compound: LaCe2HoS4
Source: Alexandria via LeMat-Bulk
Functional: GGA-PBE
Structure: relaxed

Formation energy (no corrections) ... -2048 meV/atom
VASP energy ... -6.78 eV/atom
Volume ... 23.09 A^3/atom

Unit cell a=6.9849 b=4.0106 c=6.9850 alpha=90.00 beta=109.25 gamma=90.00
Positions (direct):
1 La 0.0000 0.0000 0.0000
2 Ce 0.5000 0.0000 0.5000
3 Ce 0.5000 0.5000 0.0000
4 Ho 0.0000 0.5000 0.5000
5 S 0.2428 0.0000 0.7371
6 S 0.2503 0.5000 0.2611
7 S 0.7497 0.5000 0.7389
8 S 0.7572 0.0000 0.2629

=====

Compound: Mg2VAsN
Source: Alexandria via LeMat-Bulk
Functional: GGA-PBE
Structure: relaxed

Formation energy (no corrections) ... 444 meV/atom
VASP energy ... -4.61 eV/atom
Volume ... 20.54 A^3/atom

Unit cell a=5.3377 b=5.3377 c=3.6039 alpha=90.00 beta=90.00 gamma=90.00
Positions (direct):
1 Mg 0.0000 0.5000 0.0000
2 Mg 0.5000 0.0000 0.0000
3 V 0.0000 0.0000 0.0000
4 As 0.5000 0.5000 0.5000
5 N 0.0000 0.0000 0.5000

=====

Compound: Ca3Nd3YS8
Source: Alexandria via LeMat-Bulk
Functional: GGA-PBE
Structure: relaxed

Formation energy (no corrections) ... -2078 meV/atom
VASP energy ... -6.06 eV/atom
Volume ... 24.94 A^3/atom

Unit cell a=8.0995 b=8.0995 c=8.0995 alpha=59.80 beta=59.80 gamma=59.80
Positions (direct):
1 Ca 0.0000 0.5000 0.5000
2 Ca 0.5000 0.0000 0.5000
3 Ca 0.5000 0.5000 0.0000
4 Nd 0.0000 0.0000 0.5000
5 Nd 0.0000 0.5000 0.0000
6 Nd 0.5000 0.0000 0.0000
7 Y 0.5000 0.5000 0.5000
8 S 0.2518 0.2518 0.2518
9 S 0.2584 0.2584 0.7406
10 S 0.2584 0.7406 0.2584
11 S 0.2594 0.7416 0.7416
12 S 0.7406 0.2584 0.2584
13 S 0.7416 0.2594 0.7416
14 S 0.7416 0.7416 0.2594
15 S 0.7482 0.7482 0.7482

=====

Compound: Sc4SiO
Source: Alexandria via LeMat-Bulk
Functional: GGA-PBE
Structure: relaxed

Formation energy (no corrections) ... -1033 meV/atom
VASP energy ... -6.98 eV/atom
Volume ... 19.98 A^3/atom

Unit cell a=6.7940 b=6.7940 c=6.7940 alpha=106.80 beta=106.80 gamma=114.96
Positions (direct):
1 Sc 0.1282 0.4401 0.6881
2 Sc 0.1901 0.0021 0.8119
3 Sc 0.1901 0.3782 0.1881
4 Sc 0.2948 0.0000 0.2948
5 Sc 0.7052 0.0000 0.7052
6 Sc 0.7500 0.5448 0.7948
7 Sc 0.7500 0.9552 0.2052
8 Sc 0.7521 0.4401 0.3119
9 Si 0.2324 0.7324 0.5000
10 Si 0.4824 0.4824 0.0000
11 O 0.7082 0.2082 0.5000
12 O 0.9582 0.9582 0.0000

=====

Compound: BeRe2Au
Source: Alexandria via LeMat-Bulk
Functional: GGA-PBE
Structure: relaxed

VASP energy ... -7.56 eV/atom
Energy of formation from the pure elements ... 0.415 eV/atom
Volume ... 14.49 A^3/atom

Unit cell a=2.6953 b=4.1005 c=5.2914 alpha=90.00 beta=97.64 gamma=90.00
Positions (direct):
1 Be 0.0000 0.0000 0.0000
2 Re 0.4094 0.5000 0.2198
3 Re 0.5906 0.5000 0.7802
4 Au 0.0000 0.0000 0.5000

=====

Compound: Pa3Be
Source: Alexandria via LeMat-Bulk
Functional: GGA-PBE
Structure: relaxed

VASP energy ... -7.84 eV/atom
Energy of formation from the pure elements ... 0.213 eV/atom
Volume ... 21.50 A^3/atom

Unit cell a=4.4139 b=4.4139 c=4.4139 alpha=90.00 beta=90.00 gamma=90.00
Positions (direct):
1 Pa 0.0000 0.0000 0.5000
2 Pa 0.0000 0.5000 0.0000
3 Pa 0.5000 0.0000 0.0000
4 Be 0.5000 0.5000 0.5000

=====

Compound: LaMnRh
Source: Alexandria via LeMat-Bulk
Functional: GGA-PBE
Structure: relaxed

VASP energy ... -7.39 eV/atom
Energy of formation from the pure elements ... -0.241 eV/atom
Volume ... 21.94 A^3/atom

Unit cell a=4.2604 b=4.2604 c=4.1875 alpha=90.00 beta=90.00 gamma=120.00
Positions (direct):
1 La 0.0000 0.0000 0.0000
2 Mn 0.6667 0.3333 0.5000
3 Rh 0.3333 0.6667 0.5000

=====

Compound: PmPr2Nd2Sm4
Source: Alexandria via LeMat-Bulk
Functional: GGA-PBE
Structure: relaxed

VASP energy ... -4.74 eV/atom
Energy of formation from the pure elements ... 0.009 eV/atom
Volume ... 34.84 A^3/atom

Unit cell a=9.7608 b=9.7608 c=9.8316 alpha=115.18 beta=115.18 gamma=21.81
Positions (direct):
1 Pm 0.0000 0.0000 0.0000
2 Pr 0.1479 0.1479 0.6658
3 Pr 0.8521 0.8521 0.3342
4 Nd 0.3339 0.3339 0.9991
5 Nd 0.6661 0.6661 0.0009
6 Sm 0.1845 0.1845 0.3330
7 Sm 0.4815 0.4815 0.6690
8 Sm 0.5185 0.5185 0.3310
9 Sm 0.8155 0.8155 0.6670

=====

Compound: La4Bi2PbSe
Source: Alexandria via LeMat-Bulk
Functional: GGA-PBE
Structure: relaxed

Formation energy (no corrections) ... -1156 meV/atom
VASP energy ... -5.49 eV/atom
Volume ... 34.75 A^3/atom

Unit cell a=7.9765 b=4.6118 c=8.0122 alpha=90.00 beta=109.41 gamma=90.00
Positions (direct):
1 La 0.2447 0.0000 0.2411
2 La 0.2475 0.5000 0.7566
3 La 0.7525 0.5000 0.2434
4 La 0.7553 0.0000 0.7589
5 Bi 0.0000 0.0000 0.5000
6 Bi 0.5000 0.5000 0.5000
7 Pb 0.5000 0.0000 0.0000
8 Se 0.0000 0.5000 0.0000

=====

Compound: NdY6Er2Tm
Source: Alexandria via LeMat-Bulk
Functional: GGA-PBE
Structure: relaxed

VASP energy ... -5.59 eV/atom
Energy of formation from the pure elements ... 0.122 eV/atom
Volume ... 32.51 A^3/atom

Unit cell a=8.7458 b=8.7458 c=9.6653 alpha=94.62 beta=94.62 gamma=117.11
Positions (direct):
1 Nd 0.0943 0.9057 0.7500
2 Nd 0.9057 0.0943 0.2500
3 Y 0.0038 0.7945 0.3807
4 Y 0.0739 0.5225 0.1822
5 Y 0.2055 0.9962 0.1193
6 Y 0.2535 0.6186 0.5558
7 Y 0.3814 0.7465 0.9442
8 Y 0.4775 0.9261 0.3178
9 Y 0.5225 0.0739 0.6822
10 Y 0.6186 0.2535 0.0558
11 Y 0.7465 0.3814 0.4442
12 Y 0.7945 0.0038 0.8807
13 Y 0.9261 0.4775 0.8178
14 Y 0.9962 0.2055 0.6193
15 Er 0.2084 0.3083 0.9541
16 Er 0.3083 0.2084 0.4541
17 Er 0.6917 0.7916 0.5459
18 Er 0.7916 0.6917 0.0459
19 Tm 0.4758 0.5242 0.2500
20 Tm 0.5242 0.4758 0.7500

=====

Compound: Ce5HgPt
Source: Alexandria via LeMat-Bulk
Functional: GGA-PBE
Structure: relaxed

VASP energy ... -5.19 eV/atom
Energy of formation from the pure elements ... -0.044 eV/atom
Volume ... 25.62 A^3/atom

Unit cell a=6.4634 b=6.4634 c=6.4634 alpha=126.47 beta=120.37 gamma=84.25
Positions (direct):
1 Ce 0.0000 0.0000 0.0000
2 Ce 0.3931 0.1303 0.7372
3 Ce 0.3931 0.6559 0.2628
4 Ce 0.4941 0.2245 0.2696
5 Ce 0.9550 0.2245 0.7304
6 Hg 0.6814 0.6814 0.0000
7 Pt 0.0022 0.5022 0.5000

=====

Compound: NdDyO4
Source: Alexandria via LeMat-Bulk
Functional: GGA-PBE
Structure: relaxed

Formation energy (no corrections) ... -2900 meV/atom
VASP energy ... -7.77 eV/atom
Volume ... 13.93 A^3/atom

Unit cell a=3.8784 b=3.8784 c=6.4072 alpha=96.64 beta=96.64 gamma=61.10
Positions (direct):
1 Nd 0.0000 0.0000 0.0000
2 Dy 0.3908 0.3908 0.4601
3 O 0.0474 0.0474 0.3830
4 O 0.3487 0.3487 0.0986
5 O 0.6153 0.6153 0.7897
6 O 0.7819 0.7819 0.6523

=====

Compound: Co3H2
Source: Alexandria via LeMat-Bulk
Functional: GGA-PBE
Structure: relaxed

VASP energy ... -5.60 eV/atom
Volume ... 7.30 A^3/atom

Unit cell a=4.9026 b=4.9026 c=4.9026 alpha=54.67 beta=54.67 gamma=54.67
Positions (direct):
1 Co 0.0841 0.7500 0.4159
2 Co 0.2500 0.5841 0.9159
3 Co 0.4159 0.0841 0.7500
4 Co 0.5841 0.9159 0.2500
5 Co 0.7500 0.4159 0.0841
6 Co 0.9159 0.2500 0.5841
7 H 0.1602 0.1602 0.1602
8 H 0.3398 0.3398 0.3398
9 H 0.6602 0.6602 0.6602
10 H 0.8398 0.8398 0.8398

=====

Compound: Sb2RuRh
Source: Alexandria via LeMat-Bulk
Functional: GGA-PBE
Structure: relaxed

Formation energy (no corrections) ... 206 meV/atom
VASP energy ... -6.01 eV/atom
Volume ... 21.78 A^3/atom

Unit cell a=10.3508 b=10.3508 c=10.3508 alpha=17.46 beta=17.46 gamma=17.46
Positions (direct):
1 Sb 0.0000 0.0000 0.0000
2 Sb 0.1994 0.1994 0.1994
3 Ru 0.7302 0.7302 0.7302
4 Rh 0.4688 0.4688 0.4688

=====

Compound: Tl2ZnSi
Source: Alexandria via LeMat-Bulk
Functional: GGA-PBE
Structure: relaxed

Formation energy (no corrections) ... 341 meV/atom
VASP energy ... -2.52 eV/atom
Volume ... 23.84 A^3/atom

Unit cell a=6.3095 b=6.3095 c=6.3095 alpha=149.57 beta=130.95 gamma=58.82
Positions (direct):
1 Tl 0.0000 0.0000 0.0000
2 Tl 0.7038 0.2038 0.5000
3 Zn 0.2639 0.7639 0.5000
4 Si 0.4407 0.4407 0.0000